1.
This record from Alexandria describes crystalline Na7BiSb2 at its relaxed geometry. The functional is PBE.

Computed properties:
The calculation puts the formation energy from raw total energies at -0.29 eV/atom. As for the space-group type: No. 156.

abc: 5.347 5.347 12.922
angles: 90.00 90.00 120.00
Element x y z (fractional)
Na 0.000 0.000 0.000
Na 0.000 0.000 0.255
Na 0.000 0.000 0.523
Na 0.333 0.667 0.142
Na 0.333 0.667 0.684
Na 0.667 0.333 0.363
Na 0.667 0.333 0.845
Bi 0.333 0.667 0.410
Sb 0.000 0.000 0.761
Sb 0.667 0.333 0.110

2.
This record from Alexandria describes crystalline Na4Bi2Sb at its relaxed geometry. The functional is PBE.

Computed properties:
The calculation puts the formation energy from raw total energies at -0.29 eV/atom. As for the space-group type: No. 1.

abc: 6.112 8.026 9.866
angles: 77.75 73.05 67.90
Element x y z (fractional)
Na 0.000 0.000 0.000
Na 0.010 0.523 0.480
Na 0.041 0.051 0.373
Na 0.469 0.968 0.599
Na 0.487 0.523 0.496
Na 0.521 0.005 0.985
Na 0.539 0.556 0.883
Na 0.967 0.475 0.108
Bi 0.004 0.763 0.741
Bi 0.196 0.319 0.793
Bi 0.505 0.263 0.240
Bi 0.812 0.206 0.688
Sb 0.329 0.703 0.196
Sb 0.681 0.823 0.285

3.
This record from Alexandria describes crystalline NaBi2Sb at its relaxed geometry. The functional is PBE.

Computed properties:
The calculation puts the formation energy from raw total energies at -0.10 eV/atom. As for the space-group type: No. 123.

abc: 4.905 4.905 4.896
angles: 90.00 90.00 90.00
Element x y z (fractional)
Na 0.000 0.000 0.000
Bi 0.000 0.500 0.500
Bi 0.500 0.000 0.500
Sb 0.500 0.500 0.000

4.
This record from Alexandria describes crystalline NaBi3Sb at its relaxed geometry. The functional is PBE.

Computed properties:
The offset from the most stable computed form is 0.000 eV per atom. The calculation puts the formation energy from raw total energies at 0.00 eV/atom. As for the space-group type: No. 31.

abc: 7.287 7.965 5.835
angles: 90.00 90.00 90.00
Element x y z (fractional)
Na 0.000 0.158 0.000
Na 0.500 0.842 0.500
Bi 0.000 0.850 0.535
Bi 0.243 0.770 0.010
Bi 0.257 0.230 0.510
Bi 0.500 0.150 0.035
Bi 0.743 0.230 0.510
Bi 0.757 0.770 0.010
Sb 0.000 0.505 0.296
Sb 0.500 0.495 0.796

5.
This record from Alexandria describes crystalline Na2Bi2Sb at its relaxed geometry. The functional is PBE.

Computed properties:
The offset from the most stable computed form is 0.296 eV per atom. The calculation puts the formation energy from raw total energies at 0.12 eV/atom. As for the space-group type: No. 139.

abc: 8.913 8.913 8.913
angles: 151.90 151.90 40.15
Element x y z (fractional)
Na 0.250 0.750 0.500
Na 0.750 0.250 0.500
Bi 0.095 0.095 0.000
Bi 0.905 0.905 0.000
Sb 0.500 0.500 0.000

6.
This record from Alexandria describes crystalline NaBiSb at its relaxed geometry. The functional is PBE.

Computed properties:
The offset from the most stable computed form is 0.085 eV per atom. The calculation puts the formation energy from raw total energies at -0.07 eV/atom. As for the space-group type: No. 160.

abc: 6.882 6.882 6.882
angles: 36.64 36.64 36.64
Element x y z (fractional)
Na 0.000 0.000 0.000
Bi 0.797 0.797 0.797
Sb 0.553 0.553 0.553

7.
This record from Alexandria describes crystalline Na6BiSb at its relaxed geometry. The functional is PBE.

Computed properties:
The calculation puts the formation energy from raw total energies at -0.31 eV/atom. As for the space-group type: No. 38.

abc: 5.599 6.962 6.962
angles: 60.06 90.00 90.00
Element x y z (fractional)
Na 0.000 0.000 0.000
Na 0.000 0.000 0.548
Na 0.000 0.548 0.000
Na 0.500 0.364 0.364
Na 0.500 0.364 0.820
Na 0.500 0.820 0.364
Bi 0.000 0.516 0.516
Sb 0.500 0.849 0.849

8.
This record from Alexandria describes crystalline Na2Bi2Sb at its relaxed geometry. The functional is PBE.

Computed properties:
The offset from the most stable computed form is 0.100 eV per atom. The calculation puts the formation energy from raw total energies at -0.08 eV/atom. As for the space-group type: No. 71.

abc: 8.579 8.579 8.579
angles: 156.57 144.25 43.19
Element x y z (fractional)
Na 0.092 0.092 0.000
Na 0.908 0.908 0.000
Bi 0.295 0.795 0.500
Bi 0.705 0.205 0.500
Sb 0.500 0.500 0.000

9.
This record from Alexandria describes crystalline Na2BiSb at its relaxed geometry. The functional is PBE.

Computed properties:
The offset from the most stable computed form is 0.253 eV per atom. The calculation puts the formation energy from raw total energies at -0.05 eV/atom. As for the space-group type: No. 122.

abc: 7.065 7.065 7.065
angles: 100.99 100.99 128.22
Element x y z (fractional)
Na 0.111 0.625 0.986
Na 0.375 0.361 0.486
Na 0.639 0.125 0.014
Na 0.875 0.889 0.514
Bi 0.250 0.750 0.500
Bi 0.500 0.500 0.000
Sb 0.000 0.000 0.000
Sb 0.750 0.250 0.500

10.
This record from Alexandria describes crystalline Na2BiSb at its relaxed geometry. The functional is PBE.

Computed properties:
The offset from the most stable computed form is 0.001 eV per atom. The calculation puts the formation energy from raw total energies at -0.31 eV/atom. As for the space-group type: No. 123.

abc: 3.373 3.373 9.765
angles: 90.00 90.00 90.00
Element x y z (fractional)
Na 0.000 0.000 0.240
Na 0.000 0.000 0.760
Bi 0.500 0.500 0.500
Sb 0.500 0.500 0.000

11.
This record from Alexandria describes crystalline NaBi2Sb at its relaxed geometry. The functional is PBE.

Computed properties:
The calculation puts the formation energy from raw total energies at 0.33 eV/atom. As for the space-group type: No. 166.

abc: 7.653 7.653 7.653
angles: 43.63 43.63 43.63
Element x y z (fractional)
Na 0.000 0.000 0.000
Bi 0.365 0.365 0.365
Bi 0.635 0.635 0.635
Sb 0.500 0.500 0.500

12.
This record from Alexandria describes crystalline NaBiSb at its relaxed geometry. The functional is PBE.

Computed properties:
The offset from the most stable computed form is 0.000 eV per atom. The calculation puts the formation energy from raw total energies at -0.15 eV/atom. As for the space-group type: No. 156.

abc: 5.595 5.595 3.316
angles: 90.00 90.00 120.00
Element x y z (fractional)
Na 0.000 0.000 0.000
Bi 0.667 0.333 0.502
Sb 0.333 0.667 0.502

13.
This record from Alexandria describes crystalline Na4Bi5Sb2 at its relaxed geometry. The functional is PBE.

Computed properties:
The calculation puts the formation energy from raw total energies at -0.21 eV/atom. As for the space-group type: No. 10.

abc: 8.633 3.421 11.203
angles: 90.00 93.60 90.00
Element x y z (fractional)
Na 0.166 0.000 0.393
Na 0.277 0.000 0.941
Na 0.723 0.000 0.059
Na 0.834 0.000 0.607
Bi 0.190 0.500 0.672
Bi 0.440 0.500 0.207
Bi 0.500 0.500 0.500
Bi 0.560 0.500 0.793
Bi 0.810 0.500 0.328
Sb 0.073 0.500 0.134
Sb 0.927 0.500 0.866

14.
This record from Alexandria describes crystalline NaBiSb2Se at its relaxed geometry. The functional is PBE.

Computed properties:
The calculation puts the formation energy from raw total energies at 0.87 eV/atom. As for the space-group type: No. 123.

abc: 5.308 5.308 5.603
angles: 90.00 90.00 90.00
Element x y z (fractional)
Na 0.000 0.000 0.000
Bi 0.000 0.000 0.500
Sb 0.000 0.500 0.000
Sb 0.500 0.000 0.000
Se 0.500 0.500 0.500

15.
This record from Alexandria describes crystalline Na4BiSb3Se8 at its relaxed geometry. The functional is PBE.

Computed properties:
The calculation puts the formation energy from raw total energies at -0.66 eV/atom. As for the space-group type: No. 166.

abc: 8.588 8.588 8.588
angles: 58.14 58.14 58.14
Element x y z (fractional)
Na 0.000 0.000 0.000
Na 0.000 0.500 0.500
Na 0.500 0.000 0.500
Na 0.500 0.500 0.000
Bi 0.500 0.500 0.500
Sb 0.000 0.000 0.500
Sb 0.000 0.500 0.000
Sb 0.500 0.000 0.000
Se 0.240 0.747 0.747
Se 0.244 0.244 0.244
Se 0.253 0.253 0.760
Se 0.253 0.760 0.253
Se 0.747 0.240 0.747
Se 0.747 0.747 0.240
Se 0.756 0.756 0.756
Se 0.760 0.253 0.253

16.
This record from Alexandria describes crystalline Na3Bi2SbSe6 at its relaxed geometry. The functional is PBE.

Computed properties:
The calculation puts the formation energy from raw total energies at -0.71 eV/atom. As for the space-group type: No. 12.

abc: 7.281 7.281 7.521
angles: 99.29 99.29 120.00
Element x y z (fractional)
Na 0.000 0.000 0.000
Na 0.332 0.668 0.000
Na 0.668 0.332 0.000
Bi 0.166 0.834 0.500
Bi 0.834 0.166 0.500
Sb 0.500 0.500 0.500
Se 0.094 0.421 0.263
Se 0.251 0.251 0.736
Se 0.421 0.094 0.263
Se 0.579 0.906 0.737
Se 0.749 0.749 0.264
Se 0.906 0.579 0.737

17.
This record from Alexandria describes crystalline NaSrBiSb at its relaxed geometry. The functional is PBE.

Computed properties:
The offset from the most stable computed form is 0.000 eV per atom. The calculation puts the formation energy from raw total energies at -0.58 eV/atom. As for the space-group type: No. 47.

abc: 4.756 5.027 5.164
angles: 90.00 90.00 90.00
Element x y z (fractional)
Na 0.000 0.000 0.000
Sr 0.000 0.500 0.500
Bi 0.500 0.500 0.000
Sb 0.500 0.000 0.500

18.
This record from Alexandria describes crystalline NaSrBiSb at its relaxed geometry. The functional is PBE.

Computed properties:
The offset from the most stable computed form is 0.105 eV per atom. The calculation puts the formation energy from raw total energies at -0.47 eV/atom. As for the space-group type: No. 216.

abc: 5.649 5.649 5.649
angles: 60.00 60.00 60.00
Element x y z (fractional)
Na 0.000 0.000 0.000
Sr 0.500 0.500 0.500
Bi 0.250 0.250 0.250
Sb 0.750 0.750 0.750

19.
This record from Alexandria describes crystalline NaBi2SbTe4 at its relaxed geometry. The functional is PBE.

Computed properties:
The calculation puts the formation energy from raw total energies at -0.27 eV/atom. As for the space-group type: No. 10.

abc: 7.791 4.629 7.833
angles: 90.00 109.61 90.00
Element x y z (fractional)
Na 0.000 0.000 0.000
Bi 0.500 0.000 0.500
Bi 0.500 0.500 0.000
Sb 0.000 0.500 0.500
Te 0.247 0.000 0.743
Te 0.253 0.500 0.260
Te 0.747 0.500 0.740
Te 0.753 0.000 0.257

20.
This record from Alexandria describes crystalline NaBiSb2Te at its relaxed geometry. The functional is PBE.

Computed properties:
The offset from the most stable computed form is 0.000 eV per atom. The calculation puts the formation energy from raw total energies at 0.43 eV/atom. As for the space-group type: No. 123.

abc: 5.874 5.874 6.140
angles: 90.00 90.00 90.00
Element x y z (fractional)
Na 0.000 0.000 0.000
Bi 0.500 0.500 0.500
Sb 0.000 0.500 0.500
Sb 0.500 0.000 0.500
Te 0.500 0.500 0.000

21.
This record from Alexandria describes crystalline NaV2BiSb at its relaxed geometry. The functional is PBE.

Computed properties:
The calculation puts the formation energy from raw total energies at 1.37 eV/atom. As for the space-group type: No. 123.

abc: 5.103 5.103 5.109
angles: 90.00 90.00 90.00
Element x y z (fractional)
Na 0.000 0.000 0.000
V 0.000 0.500 0.000
V 0.500 0.000 0.000
Bi 0.500 0.500 0.500
Sb 0.000 0.000 0.500

22.
This record from Alexandria describes crystalline Na3ScBi at its relaxed geometry. The functional is PBE.

Computed properties:
The offset from the most stable computed form is 0.424 eV per atom. Its calculated formation energy is 0.857 eV/atom. As for the space-group type: No. 221.

abc: 5.825 5.825 5.825
angles: 90.00 90.00 90.00
Element x y z (fractional)
Na 0.000 0.000 0.500
Na 0.000 0.500 0.000
Na 0.500 0.000 0.000
Sc 0.000 0.000 0.000
Bi 0.500 0.500 0.500

23.
This record from Alexandria describes crystalline NaScBi2 at its relaxed geometry. The functional is PBE.

Computed properties:
The offset from the most stable computed form is 0.000 eV per atom. Its calculated formation energy is -0.425 eV/atom. As for the space-group type: No. 123.

abc: 3.546 3.546 8.870
angles: 90.00 90.00 90.00
Element x y z (fractional)
Na 0.000 0.000 0.000
Sc 0.000 0.000 0.500
Bi 0.500 0.500 0.271
Bi 0.500 0.500 0.729

24.
This record from Alexandria describes crystalline NaScBi2 at its relaxed geometry. The functional is PBE.

Computed properties:
The offset from the most stable computed form is 0.082 eV per atom. Its calculated formation energy is -0.343 eV/atom. As for the space-group type: No. 160.

abc: 6.835 6.835 6.835
angles: 40.44 40.44 40.44
Element x y z (fractional)
Na 0.000 0.000 0.000
Sc 0.821 0.821 0.821
Bi 0.235 0.235 0.235
Bi 0.415 0.415 0.415

25.
This record from Alexandria describes crystalline NaScBi3 at its relaxed geometry. The functional is PBE.

Computed properties:
The offset from the most stable computed form is 0.000 eV per atom. Its calculated formation energy is -0.078 eV/atom. As for the space-group type: No. 221.

abc: 5.662 5.662 5.662
angles: 90.00 90.00 90.00
Element x y z (fractional)
Na 0.000 0.000 0.000
Sc 0.500 0.500 0.500
Bi 0.000 0.500 0.500
Bi 0.500 0.000 0.500
Bi 0.500 0.500 0.000

26.
This record from Alexandria describes crystalline NaScBi2 at its relaxed geometry. The functional is PBE.

Computed properties:
The offset from the most stable computed form is 0.087 eV per atom. Its calculated formation energy is -0.337 eV/atom. As for the space-group type: No. 123.

abc: 5.087 5.087 4.156
angles: 90.00 90.00 90.00
Element x y z (fractional)
Na 0.000 0.000 0.000
Sc 0.500 0.500 0.000
Bi 0.000 0.500 0.500
Bi 0.500 0.000 0.500

27.
This record from Alexandria describes crystalline NaScBi2 at its relaxed geometry. The functional is PBE.

Computed properties:
The offset from the most stable computed form is 0.113 eV per atom. Its calculated formation energy is -0.311 eV/atom. As for the space-group type: No. 225.

abc: 5.363 5.363 5.363
angles: 60.00 60.00 60.00
Element x y z (fractional)
Na 0.000 0.000 0.000
Sc 0.500 0.500 0.500
Bi 0.250 0.250 0.250
Bi 0.750 0.750 0.750